Entry 1:
Material: Nd2CdSi3Pt4
Method: DFT, PBE-GGA
State: relaxed

```
Nd2CdSi3Pt4
1.0
-1.172 3.021 2.823
-4.105 -0.495 -1.174
-1.200 -7.247 7.256
Nd Cd Si Pt
2 1 3 4
direct
0.500 0.000 0.246
0.000 0.500 0.754
0.500 0.500 0.500
0.000 0.000 0.500
0.500 0.000 0.878
0.000 0.500 0.122
0.500 0.500 0.000
0.000 0.000 0.000
0.500 0.000 0.651
0.000 0.500 0.349
```

M_tot	0.000	μB/f.u.
space-group type	P-4m2, No. 115
total energy	-0.2220	hartree per atom
formation energy (no corrections)	-0.9519	eV/atom

=====

Entry 2:
Material: AlSbSe2
Method: DFT, PBE-GGA
State: relaxed

```
AlSbSe2
1.0
3.462 0.000 0.000
0.000 3.462 0.000
0.000 0.000 8.335
Sb Al Se
1 1 2
direct
0.500 0.500 0.773
0.000 0.000 0.444
0.000 0.000 0.952
0.500 0.500 0.331
```

M_tot	0.000	μB/f.u.
energy relative to the lowest polymorph listed for this composition	0.447	eV per atom
space-group type	P4mm, No. 99
total energy	-0.1379	hartree per atom
formation energy (no corrections)	-0.0448	eV/atom